Model a:
The following is a PBE calculation of a geometry-optimized Ce2GdZr structure, from the Alexandria database.

As for the space group: No. 225.

Lattice parameters (Å, degrees): 5.4142 5.4142 5.4142 60.00 60.00 60.00
Last column: magnetic moment on the atom in μB.
Element x y z (fractional)
Ce 0.2500 0.2500 0.2500  0.33
Ce 0.7500 0.7500 0.7500  0.33
Gd 0.0000 0.0000 0.0000  7.22
Zr 0.5000 0.5000 0.5000  -0.30

***

Model b:
The following is a PBE calculation of a geometry-optimized Ce2GdZr structure, from the Alexandria database.

As for the space group: No. 123.

Lattice parameters (Å, degrees): 4.0218 4.0218 6.9531 90.00 90.00 90.00
Last column: magnetic moment on the atom in μB.
Element x y z (fractional)
Ce 0.0000 0.0000 0.7836  -0.41
Ce 0.0000 0.0000 0.2164  -0.41
Zr 0.5000 0.5000 0.0000  -0.17
Gd 0.5000 0.5000 0.5000  7.07

***

Tell me which of them is the most stable. Sure, it is model b.

***

Model a:
The following is a PBE calculation of a geometry-optimized Ce3GeH structure, from the Alexandria database.

As for the space group: No. 65.

Lattice parameters (Å, degrees): 4.4980 6.7571 7.5587 116.55 90.00 90.00
Last column: magnetic moment on the atom in μB.
Element x y z (fractional)
Ge 0.0000 0.6393 0.2787  -0.02
Ge 0.0000 0.3607 0.7213  -0.02
Ce 0.5000 0.2987 0.0000  0.37
Ce 0.0000 0.1167 0.2335  0.51
Ce 0.5000 0.7013 0.0000  0.37
Ce 0.5000 0.0000 0.5000  0.64
Ce 0.5000 0.5000 0.5000  0.64
Ce 0.0000 0.8833 0.7665  0.51
H 0.5000 0.1149 0.2298  0.00
H 0.5000 0.8851 0.7702  0.00

***

Model b:
The following is a PBE calculation of a geometry-optimized Ce3GeH structure, from the Alexandria database.

As for the space group: No. 14.

Lattice parameters (Å, degrees): 6.2934 8.0194 8.6507 106.42 90.00 90.00
Last column: magnetic moment on the atom in μB.
Element x y z (fractional)
Ce 0.5189 0.7736 0.8559  0.52
Ce 0.4811 0.2264 0.1441  0.52
Ce 0.0491 0.8027 0.9849  0.54
Ce 0.5491 0.6973 0.5151  0.54
Ce 0.0189 0.7264 0.6441  0.52
Ce 0.7824 0.9373 0.3179  0.52
Ce 0.9509 0.1973 0.0151  0.54
Ce 0.7176 0.4373 0.8179  0.52
Ce 0.9811 0.2736 0.3559  0.52
Ce 0.2824 0.5627 0.1821  0.52
Ce 0.2176 0.0627 0.6821  0.52
Ce 0.4509 0.3027 0.4849  0.54
H 0.7747 0.4796 0.5593  0.00
H 0.2747 0.0204 0.9407  0.00
H 0.2253 0.5204 0.4407  0.00
H 0.7253 0.9796 0.0593  0.00
Ge 0.7824 0.5512 0.1903  -0.02
Ge 0.2176 0.4488 0.8097  -0.02
Ge 0.7176 0.0512 0.6903  -0.02
Ge 0.2824 0.9488 0.3097  -0.02

***

Tell me which of them is the most stable. Sure, it is model a.

***

Model a:
The following is a PBE calculation of a geometry-optimized Ce6Ge3H structure, from the Alexandria database.

As for the space group: No. 63.

Lattice parameters (Å, degrees): 4.4587 10.1690 10.1690 103.33 90.00 90.00
Last column: magnetic moment on the atom in μB.
Element x y z (fractional)
Ge 0.6485 0.6075 0.3925  -0.03
Ge 0.6485 0.2701 0.0619  -0.03
Ge 0.1485 0.3925 0.6075  -0.03
Ge 0.6485 0.9381 0.7299  -0.03
Ge 0.1485 0.7299 0.9381  -0.03
Ge 0.1485 0.0619 0.2701  -0.03
Ce 0.1485 0.0574 0.9426  0.90
Ce 0.1485 0.7242 0.6059  0.85
Ce 0.6485 0.2524 0.7476  0.70
Ce 0.6485 0.5750 0.0712  0.62
Ce 0.1485 0.3941 0.2758  0.85
Ce 0.1485 0.4250 0.9288  0.62
Ce 0.6485 0.9288 0.4250  0.62
Ce 0.6485 0.2758 0.3941  0.85
Ce 0.6485 0.9426 0.0574  0.90
Ce 0.6485 0.6059 0.7242  0.85
Ce 0.1485 0.0712 0.5750  0.62
Ce 0.1485 0.7476 0.2524  0.70
H 0.1485 0.2010 0.7990  -0.01
H 0.6485 0.7990 0.2010  -0.01

***

Model b:
The following is a PBE calculation of a geometry-optimized Ce6Ge3H structure, from the Alexandria database.

As for the space group: No. 12.

Lattice parameters (Å, degrees): 7.4767 5.9919 5.9919 61.53 78.82 78.82
Last column: magnetic moment on the atom in μB.
Element x y z (fractional)
Ce 0.1135 0.6448 0.6448  1.00
Ce 0.6245 0.8912 0.3553  0.58
Ce 0.3755 0.6447 0.1088  0.58
Ce 0.6245 0.3553 0.8912  0.58
Ce 0.8865 0.3552 0.3552  1.00
Ce 0.3755 0.1088 0.6447  0.58
Ge 0.7453 0.8437 0.8437  -0.03
Ge 0.0000 0.0000 0.0000  -0.03
Ge 0.2547 0.1563 0.1563  -0.03
H 0.5000 0.5000 0.5000  -0.01

***

Tell me which of them is the most stable. Sure, it is model a.

***

Model a:
The following is a PBE calculation of a geometry-optimized CePmGeH structure, from the Alexandria database.

As for the space group: No. 216.

Lattice parameters (Å, degrees): 4.9522 4.9522 4.9522 60.00 60.00 60.00
Last column: magnetic moment on the atom in μB.
Element x y z (fractional)
H 0.7500 0.7500 0.7500  -0.01
Pm 0.5000 0.5000 0.5000  0.15
Ce 0.0000 0.0000 0.0000  0.84
Ge 0.2500 0.2500 0.2500  -0.04

***

Model b:
The following is a PBE calculation of a geometry-optimized CePmGeH structure, from the Alexandria database.

As for the space group: No. 129.

Lattice parameters (Å, degrees): 4.1691 4.1691 9.0431 90.00 90.00 90.00
Element x y z (fractional)
Pm 0.5000 0.0000 0.1262
Pm 0.0000 0.5000 0.8738
Ge 0.5000 0.0000 0.7465
Ge 0.0000 0.5000 0.2535
H 0.0000 0.0000 0.0000
H 0.5000 0.5000 0.0000
Ce 0.5000 0.5000 0.5000
Ce 0.0000 0.0000 0.5000

***

Tell me which of them is the most stable. Sure, it is model b.

***

Model a:
The following is a PBE calculation of a geometry-optimized CeHfGe2 structure, from the Alexandria database.

As for the space group: No. 123.

Lattice parameters (Å, degrees): 3.6732 3.6732 6.1932 90.00 90.00 90.00
Last column: magnetic moment on the atom in μB.
Element x y z (fractional)
Hf 0.5000 0.5000 0.0000  0.00
Ce 0.5000 0.5000 0.5000  0.38
Ge 0.0000 0.0000 0.2109  -0.01
Ge 0.0000 0.0000 0.7891  -0.01

***

Model b:
The following is a PBE calculation of a geometry-optimized CeHfGe2 structure, from the Alexandria database.

As for the space group: No. 166.

Lattice parameters (Å, degrees): 4.0252 4.0252 6.9940 90.00 106.72 120.00
Element x y z (fractional)
Ge 0.4845 0.7423 0.2268
Ge 0.5155 0.2577 0.7732
Hf 0.0000 0.0000 0.0000
Ce 0.0000 0.5000 0.5000

***

Tell me which of them is the most stable. Sure, it is model b.

***

Model a:
The following is a PBE calculation of a geometry-optimized CeHf2Ge structure, from the Alexandria database.

As for the space group: No. 123.

Lattice parameters (Å, degrees): 4.1674 4.5090 4.5090 90.00 90.00 90.00
Element x y z (fractional)
Hf 0.0000 0.5000 0.0000
Hf 0.0000 0.0000 0.5000
Ge 0.5000 0.0000 0.0000
Ce 0.5000 0.5000 0.5000

***

Model b:
The following is a PBE calculation of a geometry-optimized CeHf2Ge structure, from the Alexandria database.

As for the space group: No. 166.

Lattice parameters (Å, degrees): 3.5405 3.5405 8.8549 78.47 78.47 60.00
Last column: magnetic moment on the atom in μB.
Element x y z (fractional)
Ce 0.5000 0.5000 0.5000  0.17
Ge 0.0000 0.0000 0.0000  0.00
Hf 0.7329 0.7329 0.8012  0.01
Hf 0.2671 0.2671 0.1988  0.01

***

Tell me which of them is the most stable. Sure, it is model a.

***

Model a:
The following is a PBE calculation of a geometry-optimized Ce2HoGe structure, from the Alexandria database.

As for the space group: No. 123.

Lattice parameters (Å, degrees): 3.9871 3.9871 6.8084 90.00 90.00 90.00
Last column: magnetic moment on the atom in μB.
Element x y z (fractional)
Ho 0.5000 0.5000 0.0000  0.12
Ge 0.5000 0.5000 0.5000  -0.02
Ce 0.0000 0.0000 0.3028  0.58
Ce 0.0000 0.0000 0.6972  0.58

***

Model b:
The following is a PBE calculation of a geometry-optimized Ce2HoGe structure, from the Alexandria database.

As for the space group: No. 123.

Lattice parameters (Å, degrees): 5.0504 4.3727 4.3727 90.00 90.00 90.00
Last column: magnetic moment on the atom in μB.
Element x y z (fractional)
Ce 0.0000 0.5000 0.0000  0.12
Ce 0.0000 0.0000 0.5000  0.12
Ge 0.5000 0.0000 0.0000  0.00
Ho 0.5000 0.5000 0.5000  0.02

***

Tell me which of them is the most stable. Sure, it is model b.

***

Model a:
The following is a PBE calculation of a geometry-optimized Ce2HoGe structure, from the Alexandria database.

As for the space group: No. 166.

Lattice parameters (Å, degrees): 3.2286 3.2286 11.5335 81.95 81.95 60.00
Element x y z (fractional)
Ce 0.0933 0.0933 0.7201
Ce 0.9067 0.9067 0.2799
Ge 0.5000 0.5000 0.5000
Ho 0.0000 0.0000 0.0000

***

Model b:
The following is a PBE calculation of a geometry-optimized Ce2HoGe structure, from the Alexandria database.

As for the space group: No. 11.

Lattice parameters (Å, degrees): 4.2836 4.2495 11.1355 90.00 100.64 90.00
Element x y z (fractional)
Ce 0.9820 0.2500 0.8729
Ce 0.4009 0.7500 0.8779
Ce 0.5991 0.2500 0.1221
Ce 0.0180 0.7500 0.1271
Ge 0.8238 0.7500 0.6645
Ge 0.1762 0.2500 0.3355
Ho 0.3035 0.2500 0.6051
Ho 0.6965 0.7500 0.3949

***

Tell me which of them is the most stable. Sure, it is model b.

***

Model a:
The following is a PBE calculation of a geometry-optimized Ce2HoGe2 structure, from the Alexandria database.

As for the space group: No. 11.

Lattice parameters (Å, degrees): 4.8224 5.8380 9.3995 105.22 90.00 90.00
Last column: magnetic moment on the atom in μB.
Element x y z (fractional)
Ge 0.2500 0.2660 0.9547  -0.01
Ge 0.2500 0.9217 0.6057  -0.01
Ge 0.7500 0.0783 0.3943  -0.01
Ge 0.7500 0.7340 0.0453  -0.01
Ce 0.2500 0.7301 0.8689  0.22
Ce 0.7500 0.2699 0.1311  0.22
Ce 0.2500 0.3696 0.4830  0.29
Ce 0.7500 0.6304 0.5170  0.29
Ho 0.7500 0.2247 0.7485  0.00
Ho 0.2500 0.7753 0.2515  0.00

***

Model b:
The following is a PBE calculation of a geometry-optimized Ce2HoGe2 structure, from the Alexandria database.

As for the space group: No. 127.

Lattice parameters (Å, degrees): 4.0482 7.9283 7.9283 90.00 90.00 90.00
Last column: magnetic moment on the atom in μB.
Element x y z (fractional)
Ho 0.0000 0.5000 0.5000  0.03
Ho 0.0000 0.0000 0.0000  0.03
Ge 0.0000 0.8327 0.6673  -0.02
Ge 0.0000 0.6673 0.1673  -0.02
Ge 0.0000 0.1673 0.3327  -0.02
Ge 0.0000 0.3327 0.8327  -0.02
Ce 0.5000 0.1282 0.6282  0.54
Ce 0.5000 0.8718 0.3718  0.54
Ce 0.5000 0.3718 0.1282  0.54
Ce 0.5000 0.6282 0.8718  0.54

***

Tell me which of them is the most stable. Sure, it is model b.

***

Model a:
The following is a PBE calculation of a geometry-optimized Ce2GeI structure, from the Alexandria database.

As for the space group: No. 123.

Lattice parameters (Å, degrees): 3.7392 3.7392 7.8261 90.00 90.00 90.00
Last column: magnetic moment on the atom in μB.
Element x y z (fractional)
Ge 0.5000 0.5000 0.0000  -0.06
I 0.5000 0.5000 0.5000  -0.02
Ce 0.0000 0.0000 0.7881  1.04
Ce 0.0000 0.0000 0.2119  1.04

***

Model b:
The following is a PBE calculation of a geometry-optimized Ce2GeI structure, from the Alexandria database.

As for the space group: No. 166.

Lattice parameters (Å, degrees): 4.3679 4.3690 7.7636 106.32 90.00 119.99
Last column: magnetic moment on the atom in μB.
Element x y z (fractional)
I 0.0000 0.0000 0.5000  -0.01
Ge 0.5000 0.0000 0.0000  -0.03
Ce 0.7625 0.5251 0.7876  0.83
Ce 0.2375 0.4749 0.2124  0.83

***

Model c:
The following is a PBE calculation of a geometry-optimized Ce2GeI structure, from the Alexandria database.

As for the space group: No. 160.

Lattice parameters (Å, degrees): 4.2585 4.2585 8.2134 74.97 74.97 60.00
Last column: magnetic moment on the atom in μB.
Element x y z (fractional)
Ce 0.0690 0.0690 0.7931  0.84
Ce 0.2647 0.2647 0.2058  0.91
I 0.4983 0.4983 0.5052  -0.01
Ge 0.6680 0.6680 0.9959  -0.04

***

Tell me which of them is the most stable. Sure, it is model b.

***

Model a:
The following is a PBE calculation of a geometry-optimized CePmGeI structure, from the Alexandria database.

As for the space group: No. 216.

Lattice parameters (Å, degrees): 5.3481 5.3481 5.3481 60.00 60.00 60.00
Last column: magnetic moment on the atom in μB.
Element x y z (fractional)
I 0.5000 0.5000 0.5000  -0.02
Ge 0.0000 0.0000 0.0000  -0.05
Pm 0.2500 0.2500 0.2500  0.28
Ce 0.7500 0.7500 0.7500  0.95

***

Model b:
The following is a PBE calculation of a geometry-optimized CePmGeI structure, from the Alexandria database.

As for the space group: No. 160.

Lattice parameters (Å, degrees): 4.2829 4.2835 8.1613 90.00 105.21 120.00
Last column: magnetic moment on the atom in μB.
Element x y z (fractional)
Ge 0.3056 0.5507 0.8716  -0.02
Ce 0.1034 0.9496 0.0683  0.78
I 0.9675 0.3818 0.3644  -0.01
Pm 0.5014 0.1486 0.6654  0.00

***

Tell me which of them is the most stable. Sure, it is model b.

***

Model a:
The following is a PBE calculation of a geometry-optimized CeIn2Ge structure, from the Alexandria database.

As for the space group: No. 166.

Lattice parameters (Å, degrees): 3.3439 3.3439 11.2384 81.44 81.44 60.00
Last column: magnetic moment on the atom in μB.
Element x y z (fractional)
In 0.9030 0.9030 0.2909  0.00
In 0.0970 0.0970 0.7091  0.00
Ce 0.0000 0.0000 0.0000  0.87
Ge 0.5000 0.5000 0.5000  0.00

***

Model b:
The following is a PBE calculation of a geometry-optimized CeIn2Ge structure, from the Alexandria database.

As for the space group: No. 123.

Lattice parameters (Å, degrees): 4.9103 4.4236 4.4236 90.00 90.00 90.00
Last column: magnetic moment on the atom in μB.
Element x y z (fractional)
In 0.0000 0.0000 0.5000  0.01
In 0.0000 0.5000 0.0000  0.01
Ce 0.5000 0.5000 0.5000  0.52
Ge 0.5000 0.0000 0.0000  0.01

***

Tell me which of them is the most stable. Sure, it is model b.